1.
An optimized crystal structure of ZrTa3C. Source: Alexandria via LeMat-Bulk, functional GGA-PBE.

## Properties
**Total moment**: 0.000 μB per atom
**Energy of formation from the pure elements**: -0.176 eV/atom

POSCAR file:
```
ZrTa3C
1.0
4.3925 0.0000 0.0000
0.0000 4.3925 0.0000
0.0000 0.0000 4.3925
Zr Ta C
1 3 1
Direct
0.0000 0.0000 0.0000
0.0000 0.5000 0.5000
0.5000 0.0000 0.5000
0.5000 0.5000 0.0000
0.5000 0.5000 0.5000
```


2.
An optimized crystal structure of BaScTl2. Source: Alexandria via LeMat-Bulk, functional GGA-PBE.

## Properties
**Total moment**: 0.000 μB per atom
**Energy of formation from the pure elements**: 0.075 eV/atom

POSCAR file:
```
BaScTl2
1.0
5.6148 0.0000 0.0000
0.0000 5.6148 0.0000
0.0000 0.0000 19.9860
Ba Sc Tl
4 4 8
Direct
0.0000 0.0000 0.0000
0.0000 0.5000 0.2500
0.5000 0.0000 0.7500
0.5000 0.5000 0.5000
0.0000 0.0000 0.5000
0.0000 0.5000 0.7500
0.5000 0.0000 0.2500
0.5000 0.5000 0.0000
0.1366 0.2500 0.6250
0.2500 0.6366 0.8750
0.2500 0.8634 0.3750
0.3634 0.2500 0.1250
0.6366 0.7500 0.1250
0.7500 0.1366 0.3750
0.7500 0.3634 0.8750
0.8634 0.7500 0.6250
```


3.
An optimized crystal structure of Pb3W. Source: Alexandria via LeMat-Bulk, functional GGA-PBE.

## Properties
**Total moment**: 0.000 μB per atom
**Energy of formation from the pure elements**: 0.876 eV/atom

POSCAR file:
```
Pb3W
1.0
3.2443 0.0000 0.0000
0.0000 4.6366 0.0000
0.0000 0.0000 7.4447
Pb W
3 1
Direct
0.0000 0.0000 0.0000
0.0000 0.5000 0.3419
0.5000 0.0000 0.6168
0.5000 0.5000 0.9866
```


4.
An optimized crystal structure of Ac3TlSi2Pd9. Source: Alexandria via LeMat-Bulk, functional GGA-PBE.

## Properties
**Total moment**: 0.000 μB per atom
**Uncorrected formation energy**: -931 kJ/mol of formula units

POSCAR file:
```
Ac3TlSi2Pd9
1.0
6.0787 0.0000 0.0000
-3.0394 5.2643 0.0000
0.0000 0.0000 10.8066
Ac Tl Si Pd
3 1 2 9
Direct
0.0000 0.0000 0.0000
0.3333 0.6667 0.7149
0.6667 0.3333 0.2851
0.0000 0.0000 0.5000
0.3333 0.6667 0.1563
0.6667 0.3333 0.8437
0.0000 0.5000 0.0000
0.1565 0.3130 0.2910
0.1565 0.8435 0.2910
0.3130 0.1565 0.7090
0.5000 0.0000 0.0000
0.5000 0.5000 0.0000
0.6870 0.8435 0.2910
0.8435 0.1565 0.7090
0.8435 0.6870 0.7090
```


5.
An optimized crystal structure of CaGaSn2. Source: Alexandria via LeMat-Bulk, functional GGA-PBE.

## Properties
**Total moment**: 0.000 μB per atom
**Energy of formation from the pure elements**: -0.177 eV/atom

POSCAR file:
```
CaGaSn2
1.0
4.7845 0.0000 0.0000
0.0000 4.7845 0.0000
0.0000 0.0000 20.2772
Ca Ga Sn
4 4 8
Direct
0.0000 0.0000 0.0000
0.0000 0.5000 0.2500
0.5000 0.0000 0.7500
0.5000 0.5000 0.5000
0.0000 0.0000 0.5000
0.0000 0.5000 0.7500
0.5000 0.0000 0.2500
0.5000 0.5000 0.0000
0.1948 0.2500 0.6250
0.2500 0.6948 0.8750
0.2500 0.8052 0.3750
0.3052 0.2500 0.1250
0.6948 0.7500 0.1250
0.7500 0.1948 0.3750
0.7500 0.3052 0.8750
0.8052 0.7500 0.6250
```


6.
An optimized crystal structure of CrAgAu2. Source: Alexandria via LeMat-Bulk, functional GGA-PBE.

## Properties
**Total moment**: 1.038 μB per atom
**Energy of formation from the pure elements**: 0.087 eV/atom

POSCAR file:
```
CrAgAu2
1.0
4.2388 0.0000 0.0000
0.0000 4.2388 0.0000
0.0000 0.0000 7.7710
Cr Ag Au
2 2 4
Direct
0.0000 0.0000 0.0000
0.5000 0.5000 0.5000
0.0000 0.0000 0.5000
0.5000 0.5000 0.0000
0.0000 0.5000 0.2500
0.0000 0.5000 0.7500
0.5000 0.0000 0.2500
0.5000 0.0000 0.7500
```


| no. | N(E_F) (states/eV/f.u.) | total DFT energy (no corrections) (Ry per atom) |
| --- | --- | --- |
| 1 | 5.065 | -0.7968 |
| 2 | 5.313 | -0.2331 |
| 3 | 3.340 | -0.3781 |
| 4 | 8.710 | -0.4014 |
| 5 | 1.315 | -0.2525 |
| 6 | 1.718 | -0.3432 |